The following is a DFT calculation (PBE) of crystalline Pr4MgCd5 at its relaxed geometry.

extended XYZ file:
```
10
Lattice="3.821 0.000 0.000 0.000 3.821 0.000 0.000 0.000 19.075" Properties=species:S:1:pos:R:3 pbc="T T T"
Pr 0.000 0.000 11.529
Pr 0.000 0.000 7.547
Pr 0.000 0.000 3.609
Pr 0.000 0.000 15.466
Cd 1.910 1.910 9.538
Cd 1.910 1.910 17.487
Cd 1.910 1.910 1.589
Cd 1.910 1.910 5.592
Cd 1.910 1.910 13.483
Mg 0.000 0.000 0.000
```

Summary:
M_tot	0.003	μB per atom
Fermi-level density of states	1.01	states/eV/atom
ΔH_f (0 K)	-27.0	kJ per mole of atoms
SG	P4/mmm (123)